Here is a relaxed structure of Cs2SiPbCl6 from Alexandria via LeMat-Bulk. Energies are from PBE-GGA.

a b c (Å): 7.736 7.736 7.736
angles (deg): 60.00 60.00 60.00
Sites, in units of the cell vectors:
Cs  0.250  0.250  0.250
Cs  0.750  0.750  0.750
Si  0.000  0.000  0.000
Pb  0.500  0.500  0.500
Cl  0.237  0.237  0.763
Cl  0.237  0.763  0.237
Cl  0.237  0.763  0.763
Cl  0.763  0.237  0.237
Cl  0.763  0.237  0.763
Cl  0.763  0.763  0.237

Results
Density (g/cm³): 3.62
VASP energy (eV/atom): -3.54


Here is a relaxed structure of CsSmPbCl6 from Alexandria via LeMat-Bulk. Energies are from PBE-GGA.

a b c (Å): 7.465 7.465 7.486
angles (deg): 90.00 90.00 120.00
Sites, in units of the cell vectors:
Cs  0.000  0.000  0.000
Sm  0.333  0.667  0.500
Pb  0.667  0.333  0.500
Cl  0.019  0.387  0.290
Cl  0.019  0.632  0.710
Cl  0.368  0.387  0.710
Cl  0.368  0.981  0.290
Cl  0.613  0.632  0.290
Cl  0.613  0.981  0.710

Results
Density (g/cm³): 3.23
VASP energy (eV/atom): -4.15


Here is a relaxed structure of CsSmPb2Cl8 from Alexandria via LeMat-Bulk. Energies are from PBE-GGA.

a b c (Å): 6.685 6.937 9.229
angles (deg): 89.74 89.73 88.89
Sites, in units of the cell vectors:
Cs  0.000  0.000  0.000
Sm  0.000  0.000  0.500
Pb  0.499  0.500  0.249
Pb  0.501  0.500  0.751
Cl  0.240  0.838  0.705
Cl  0.241  0.839  0.295
Cl  0.247  0.315  0.499
Cl  0.274  0.397  0.002
Cl  0.726  0.603  0.998
Cl  0.753  0.685  0.501
Cl  0.759  0.161  0.705
Cl  0.760  0.162  0.295

Results
Density (g/cm³): 3.81
VASP energy (eV/atom): -3.96


Here is a relaxed structure of CsSnPbCl5 from Alexandria via LeMat-Bulk. Energies are from PBE-GGA.

a b c (Å): 7.979 7.979 10.766
angles (deg): 105.88 105.88 96.93
Sites, in units of the cell vectors:
Cs  0.080  0.920  0.750
Cs  0.920  0.080  0.250
Sn  0.493  0.507  0.750
Sn  0.507  0.493  0.250
Pb  0.000  0.500  0.000
Pb  0.500  0.000  0.500
Cl  0.191  0.238  0.078
Cl  0.223  0.777  0.250
Cl  0.238  0.191  0.578
Cl  0.293  0.613  0.901
Cl  0.387  0.707  0.599
Cl  0.613  0.293  0.401
Cl  0.707  0.387  0.099
Cl  0.762  0.809  0.422
Cl  0.777  0.223  0.750
Cl  0.809  0.762  0.922

Results
Density (g/cm³): 3.41
VASP energy (eV/atom): -3.54


Here is a relaxed structure of CsSnPb2Cl8 from Alexandria via LeMat-Bulk. Energies are from PBE-GGA.

a b c (Å): 6.670 6.894 9.120
angles (deg): 89.73 89.73 88.66
Sites, in units of the cell vectors:
Cs  0.000  0.000  0.000
Sn  0.000  0.000  0.500
Pb  0.499  0.500  0.252
Pb  0.501  0.500  0.748
Cl  0.232  0.829  0.697
Cl  0.233  0.830  0.302
Cl  0.248  0.305  0.499
Cl  0.274  0.395  0.002
Cl  0.726  0.605  0.998
Cl  0.752  0.695  0.501
Cl  0.767  0.170  0.698
Cl  0.768  0.171  0.303

Results
Density (g/cm³): 3.76
VASP energy (eV/atom): -3.43


Here is a relaxed structure of Cs3SnPb2Cl9 from Alexandria via LeMat-Bulk. Energies are from PBE-GGA.

a b c (Å): 8.053 8.053 9.869
angles (deg): 90.00 90.00 120.00
Sites, in units of the cell vectors:
Cs  0.000  0.000  0.000
Cs  0.333  0.667  0.667
Cs  0.667  0.333  0.333
Sn  0.000  0.000  0.500
Pb  0.333  0.667  0.169
Pb  0.667  0.333  0.831
Cl  0.000  0.500  0.000
Cl  0.165  0.329  0.336
Cl  0.165  0.835  0.336
Cl  0.329  0.165  0.664
Cl  0.500  0.000  0.000
Cl  0.500  0.500  0.000
Cl  0.671  0.835  0.336
Cl  0.835  0.165  0.664
Cl  0.835  0.671  0.664

Results
Density (g/cm³): 3.75
VASP energy (eV/atom): -3.54


Here is a relaxed structure of Cs4Sn3PbCl12 from Alexandria via LeMat-Bulk. Energies are from PBE-GGA.

a b c (Å): 9.789 9.789 9.789
angles (deg): 109.47 109.47 109.47
Sites, in units of the cell vectors:
Cs  0.000  0.000  0.500
Cs  0.000  0.500  0.000
Cs  0.500  0.000  0.000
Cs  0.500  0.500  0.500
Sn  0.000  0.500  0.500
Sn  0.500  0.000  0.500
Sn  0.500  0.500  0.000
Pb  0.000  0.000  0.000
Cl  0.000  0.253  0.253
Cl  0.000  0.747  0.747
Cl  0.250  0.500  0.750
Cl  0.250  0.750  0.500
Cl  0.253  0.000  0.253
Cl  0.253  0.253  0.000
Cl  0.500  0.250  0.750
Cl  0.500  0.750  0.250
Cl  0.747  0.000  0.747
Cl  0.747  0.747  0.000
Cl  0.750  0.250  0.500
Cl  0.750  0.500  0.250

Results
Density (g/cm³): 3.50
VASP energy (eV/atom): -3.53


Here is a relaxed structure of Cs4SnPb3Cl12 from Alexandria via LeMat-Bulk. Energies are from PBE-GGA.

a b c (Å): 9.877 9.877 9.877
angles (deg): 109.47 109.47 109.47
Sites, in units of the cell vectors:
Cs  0.000  0.000  0.500
Cs  0.000  0.500  0.000
Cs  0.500  0.000  0.000
Cs  0.500  0.500  0.500
Sn  0.000  0.000  0.000
Pb  0.000  0.500  0.500
Pb  0.500  0.000  0.500
Pb  0.500  0.500  0.000
Cl  0.000  0.247  0.247
Cl  0.000  0.753  0.753
Cl  0.247  0.000  0.247
Cl  0.247  0.247  0.000
Cl  0.250  0.500  0.750
Cl  0.250  0.750  0.500
Cl  0.500  0.250  0.750
Cl  0.500  0.750  0.250
Cl  0.750  0.250  0.500
Cl  0.750  0.500  0.250
Cl  0.753  0.000  0.753
Cl  0.753  0.753  0.000

Results
Density (g/cm³): 3.80
VASP energy (eV/atom): -3.54


Here is a relaxed structure of Cs2SrPbCl6 from Alexandria via LeMat-Bulk. Energies are from PBE-GGA.

a b c (Å): 8.111 8.111 8.111
angles (deg): 60.00 60.00 60.00
Sites, in units of the cell vectors:
Cs  0.250  0.250  0.250
Cs  0.750  0.750  0.750
Sr  0.000  0.000  0.000
Pb  0.500  0.500  0.500
Cl  0.249  0.249  0.751
Cl  0.249  0.751  0.249
Cl  0.249  0.751  0.751
Cl  0.751  0.249  0.249
Cl  0.751  0.249  0.751
Cl  0.751  0.751  0.249

Results
Density (g/cm³): 3.40
VASP energy (eV/atom): -3.72
Polymorph energy (0 for the lowest one) (meV/atom): 4


Here is a relaxed structure of Cs3Sr2PbCl9 from Alexandria via LeMat-Bulk. Energies are from PBE-GGA.

a b c (Å): 8.106 8.106 9.940
angles (deg): 90.00 90.00 120.00
Sites, in units of the cell vectors:
Cs  0.000  0.000  0.000
Cs  0.333  0.667  0.661
Cs  0.667  0.333  0.339
Sr  0.333  0.667  0.165
Sr  0.667  0.333  0.835
Pb  0.000  0.000  0.500
Cl  0.000  0.500  0.000
Cl  0.168  0.335  0.333
Cl  0.168  0.832  0.333
Cl  0.335  0.168  0.667
Cl  0.500  0.000  0.000
Cl  0.500  0.500  0.000
Cl  0.665  0.832  0.333
Cl  0.832  0.168  0.667
Cl  0.832  0.665  0.667

Results
Density (g/cm³): 3.23
VASP energy (eV/atom): -3.78


Here is a relaxed structure of Cs3SrPb2Cl9 from Alexandria via LeMat-Bulk. Energies are from PBE-GGA.

a b c (Å): 8.106 8.106 9.934
angles (deg): 90.00 90.00 120.00
Sites, in units of the cell vectors:
Cs  0.000  0.000  0.000
Cs  0.333  0.667  0.669
Cs  0.667  0.333  0.331
Sr  0.000  0.000  0.500
Pb  0.333  0.667  0.167
Pb  0.667  0.333  0.833
Cl  0.000  0.500  0.000
Cl  0.166  0.333  0.334
Cl  0.166  0.834  0.334
Cl  0.333  0.166  0.666
Cl  0.500  0.000  0.000
Cl  0.500  0.500  0.000
Cl  0.667  0.834  0.334
Cl  0.834  0.166  0.666
Cl  0.834  0.667  0.666

Results
Density (g/cm³): 3.58
VASP energy (eV/atom): -3.66


Here is a relaxed structure of Cs2SrPbCl6 from Alexandria via LeMat-Bulk. Energies are from PBE-GGA.

a b c (Å): 5.729 5.729 11.475
angles (deg): 90.00 90.00 90.00
Sites, in units of the cell vectors:
Cs  0.000  0.000  0.249
Cs  0.000  0.000  0.751
Sr  0.500  0.500  0.500
Pb  0.500  0.500  0.000
Cl  0.000  0.500  0.000
Cl  0.000  0.500  0.500
Cl  0.500  0.000  0.000
Cl  0.500  0.000  0.500
Cl  0.500  0.500  0.250
Cl  0.500  0.500  0.750

Results
Density (g/cm³): 3.41
VASP energy (eV/atom): -3.72
Polymorph energy (0 for the lowest one) (meV/atom): 0


Here is a relaxed structure of Cs4SrPb3Cl12 from Alexandria via LeMat-Bulk. Energies are from PBE-GGA.

a b c (Å): 9.928 9.928 9.928
angles (deg): 109.47 109.47 109.47
Sites, in units of the cell vectors:
Cs  0.000  0.000  0.500
Cs  0.000  0.500  0.000
Cs  0.500  0.000  0.000
Cs  0.500  0.500  0.500
Sr  0.000  0.000  0.000
Pb  0.000  0.500  0.500
Pb  0.500  0.000  0.500
Pb  0.500  0.500  0.000
Cl  0.000  0.249  0.249
Cl  0.000  0.751  0.751
Cl  0.249  0.000  0.249
Cl  0.249  0.249  0.000
Cl  0.250  0.500  0.750
Cl  0.250  0.750  0.500
Cl  0.500  0.250  0.750
Cl  0.500  0.750  0.250
Cl  0.750  0.250  0.500
Cl  0.750  0.500  0.250
Cl  0.751  0.000  0.751
Cl  0.751  0.751  0.000

Results
Density (g/cm³): 3.67
VASP energy (eV/atom): -3.63


Here is a relaxed structure of CsTa6PbCl18 from Alexandria via LeMat-Bulk. Energies are from PBE-GGA.

a b c (Å): 9.528 9.528 17.634
angles (deg): 90.00 90.00 120.00
Sites, in units of the cell vectors:
Cs  0.333  0.667  0.250
Cs  0.667  0.333  0.750
Ta  0.029  0.191  0.568
Ta  0.029  0.838  0.932
Ta  0.162  0.191  0.932
Ta  0.162  0.971  0.568
Ta  0.191  0.029  0.068
Ta  0.191  0.162  0.432
Ta  0.809  0.838  0.568
Ta  0.809  0.971  0.932
Ta  0.838  0.029  0.432
Ta  0.838  0.809  0.068
Ta  0.971  0.162  0.068
Ta  0.971  0.809  0.432
Pb  0.333  0.667  0.750
Pb  0.667  0.333  0.250
Cl  0.034  0.223  0.341
Cl  0.034  0.810  0.159
Cl  0.061  0.427  0.655
Cl  0.061  0.633  0.845
Cl  0.155  0.412  0.000
Cl  0.155  0.743  0.500
Cl  0.190  0.223  0.159
Cl  0.190  0.966  0.341
Cl  0.223  0.034  0.841
Cl  0.223  0.190  0.659
Cl  0.257  0.412  0.500
Cl  0.257  0.845  0.000
Cl  0.367  0.427  0.845
Cl  0.367  0.939  0.655
Cl  0.412  0.155  0.500
Cl  0.412  0.257  0.000
Cl  0.427  0.061  0.155
Cl  0.427  0.367  0.345
Cl  0.573  0.633  0.655
Cl  0.573  0.939  0.845
Cl  0.588  0.743  0.000
Cl  0.588  0.845  0.500
Cl  0.633  0.061  0.345
Cl  0.633  0.573  0.155
Cl  0.743  0.155  0.000
Cl  0.743  0.588  0.500
Cl  0.777  0.810  0.341
Cl  0.777  0.966  0.159
Cl  0.810  0.034  0.659
Cl  0.810  0.777  0.841
Cl  0.845  0.257  0.500
Cl  0.845  0.588  0.000
Cl  0.939  0.367  0.155
Cl  0.939  0.573  0.345
Cl  0.966  0.190  0.841
Cl  0.966  0.777  0.659

Results
Density (g/cm³): 4.94
VASP energy (eV/atom): -5.53


Here is a relaxed structure of Cs2Ta6PbCl18 from Alexandria via LeMat-Bulk. Energies are from PBE-GGA.

a b c (Å): 10.505 10.505 10.505
angles (deg): 55.30 55.30 55.30
Sites, in units of the cell vectors:
Cs  0.225  0.225  0.225
Cs  0.775  0.775  0.775
Ta  0.082  0.857  0.194
Ta  0.143  0.806  0.918
Ta  0.194  0.082  0.857
Ta  0.806  0.918  0.143
Ta  0.857  0.194  0.082
Ta  0.918  0.143  0.806
Pb  0.500  0.500  0.500
Cl  0.062  0.330  0.927
Cl  0.073  0.938  0.670
Cl  0.133  0.270  0.599
Cl  0.182  0.678  0.448
Cl  0.270  0.599  0.133
Cl  0.322  0.552  0.818
Cl  0.330  0.927  0.062
Cl  0.401  0.867  0.730
Cl  0.448  0.182  0.678
Cl  0.552  0.818  0.322
Cl  0.599  0.133  0.270
Cl  0.670  0.073  0.938
Cl  0.678  0.448  0.182
Cl  0.730  0.401  0.867
Cl  0.818  0.322  0.552
Cl  0.867  0.730  0.401
Cl  0.927  0.062  0.330
Cl  0.938  0.670  0.073

Results
Density (g/cm³): 5.00
VASP energy (eV/atom): -5.46


Here is a relaxed structure of Cs2TbPbCl6 from Alexandria via LeMat-Bulk. Energies are from PBE-GGA.

a b c (Å): 8.103 8.103 8.103
angles (deg): 60.00 60.00 60.00
Sites, in units of the cell vectors:
Cs  0.250  0.250  0.250
Cs  0.750  0.750  0.750
Tb  0.000  0.000  0.000
Pb  0.500  0.500  0.500
Cl  0.232  0.232  0.768
Cl  0.232  0.768  0.232
Cl  0.232  0.768  0.768
Cl  0.768  0.232  0.232
Cl  0.768  0.232  0.768
Cl  0.768  0.768  0.232

Results
Density (g/cm³): 3.73
VASP energy (eV/atom): -3.87


Here is a relaxed structure of CsTbPb2Cl8 from Alexandria via LeMat-Bulk. Energies are from PBE-GGA.

a b c (Å): 6.645 6.896 9.199
angles (deg): 89.75 89.71 88.75
Sites, in units of the cell vectors:
Cs  0.000  0.000  0.000
Tb  0.000  0.000  0.500
Pb  0.499  0.500  0.251
Pb  0.501  0.500  0.749
Cl  0.237  0.839  0.702
Cl  0.239  0.840  0.298
Cl  0.244  0.311  0.499
Cl  0.272  0.399  0.002
Cl  0.728  0.601  0.998
Cl  0.756  0.689  0.501
Cl  0.761  0.160  0.702
Cl  0.763  0.161  0.298

Results
Density (g/cm³): 3.90
VASP energy (eV/atom): -3.96